Record 1
Crystalline Hf4AlSbC2 at its relaxed geometry, computed with PBE.

Properties
VASP energy (eV/atom): -8.984

Structure (POSCAR):
```
Hf4AlSbC2
1.0
3.331 0.000 0.000
-1.666 2.885 0.000
0.000 0.000 14.190
Hf Al Sb C
4 1 1 2
Cartesian
0.000 0.000 2.302 Hf
0.000 0.000 11.888 Hf
0.000 1.923 4.759 Hf
0.000 1.923 9.430 Hf
0.000 1.923 0.000 Al
0.000 0.000 7.095 Sb
1.666 0.962 3.538 C
1.666 0.962 10.652 C
```


Record 2
Crystalline LiHfTeAuS2 at its relaxed geometry, computed with PBE.

Properties
VASP energy (eV/atom): -5.291

Structure (POSCAR):
```
LiHfTeAuS2
1.0
1.862 -6.617 0.000
1.862 6.617 0.000
0.000 0.000 10.620
Li Hf Te Au S
2 2 2 2 4
Cartesian
1.862 3.716 7.965 Li
1.862 -3.716 2.655 Li
0.000 0.000 0.000 Hf
0.000 0.000 5.310 Hf
1.862 5.183 2.655 Te
1.862 -5.183 7.965 Te
1.862 0.805 2.655 Au
1.862 -0.805 7.965 Au
1.862 1.717 0.438 S
1.862 1.717 4.872 S
1.862 -1.717 5.748 S
1.862 -1.717 10.182 S
```


Record 3
Crystalline SrLuAuSe3 at its relaxed geometry, computed with PBE.

Properties
VASP energy (eV/atom): -4.719
Relative energy among the computed polymorphs (meV/atom): 57

Structure (POSCAR):
```
SrLuAuSe3
1.0
12.945 0.000 0.000
0.000 4.131 0.000
0.000 0.000 11.187
Sr Lu Au Se
4 4 4 12
Cartesian
2.550 1.033 0.432 Sr
3.923 3.098 6.026 Sr
9.022 1.033 5.161 Sr
10.396 3.098 10.755 Sr
0.066 3.098 7.511 Lu
6.406 1.033 1.918 Lu
6.539 3.098 9.269 Lu
12.879 1.033 3.676 Lu
2.528 3.098 3.086 Au
3.945 1.033 8.680 Au
9.001 3.098 2.507 Au
10.418 1.033 8.101 Au
0.405 3.098 1.731 Se
1.439 1.033 6.096 Se
2.447 3.098 9.163 Se
4.026 1.033 3.569 Se
5.034 3.098 0.502 Se
6.067 1.033 7.325 Se
6.878 3.098 3.862 Se
7.911 1.033 10.685 Se
8.920 3.098 7.618 Se
10.498 1.033 2.024 Se
11.507 3.098 5.091 Se
12.540 1.033 9.456 Se
```


Record 4
Crystalline Y3Mg3CuPtAu at its relaxed geometry, computed with PBE.

Properties
VASP energy (eV/atom): -4.757

Structure (POSCAR):
```
Y3Mg3CuPtAu
1.0
7.521 0.000 0.000
-3.761 6.513 0.000
0.000 0.000 4.011
Y Mg Cu Pt Au
3 3 1 1 1
Cartesian
-2.143 4.819 0.000 Y
0.659 2.248 0.000 Y
1.484 5.960 0.000 Y
2.858 0.581 2.006 Mg
2.835 3.748 2.006 Mg
5.589 2.184 2.006 Mg
3.761 2.171 0.000 Cu
0.000 4.342 2.006 Pt
0.000 0.000 2.006 Au
```


Record 5
Crystalline Y5Lu2Ni2Te2 at its relaxed geometry, computed with PBE.

Properties
VASP energy (eV/atom): -6.022
Relative energy among the computed polymorphs (meV/atom): 19

Structure (POSCAR):
```
Y5Lu2Ni2Te2
1.0
-1.923 7.784 4.816
1.923 -7.784 4.816
1.923 7.784 -4.816
Y Lu Ni Te
5 2 2 2
Cartesian
0.000 0.000 0.000 Y
1.923 5.740 -0.768 Y
1.923 2.899 1.176 Y
0.000 2.044 4.049 Y
0.000 4.885 5.993 Y
0.000 5.520 2.639 Lu
0.000 10.048 2.639 Lu
1.923 -4.127 4.078 Ni
1.923 4.127 4.078 Ni
1.923 0.000 2.536 Te
0.000 0.000 6.424 Te
```


Record 6
Crystalline YCuIrPb at its relaxed geometry, computed with PBE.

Properties
VASP energy (eV/atom): -5.683
Relative energy among the computed polymorphs (meV/atom): 225

Structure (POSCAR):
```
YCuIrPb
1.0
0.000 3.422 3.422
3.422 0.000 3.422
3.422 3.422 0.000
Y Cu Ir Pb
1 1 1 1
Cartesian
0.000 0.000 0.000 Y
3.422 3.422 3.422 Cu
5.133 5.133 5.133 Ir
1.711 1.711 1.711 Pb
```


Record 7
Crystalline LiReAuS3 at its relaxed geometry, computed with PBE.

Properties
VASP energy (eV/atom): -5.257

Structure (POSCAR):
```
LiReAuS3
1.0
1.611 -7.006 0.000
1.611 7.006 0.000
0.000 0.000 9.405
Li Re Au S
2 2 2 6
Cartesian
1.611 4.586 7.054 Li
1.611 -4.586 2.351 Li
1.611 0.000 0.000 Re
1.611 0.000 4.703 Re
1.611 4.635 2.351 Au
1.611 -4.635 7.054 Au
1.611 5.178 0.092 S
1.611 5.178 4.610 S
1.611 0.476 2.351 S
1.611 -0.476 7.054 S
1.611 -5.178 4.795 S
1.611 -5.178 9.313 S
```


Record 8
Crystalline LuMgSbOs at its relaxed geometry, computed with PBE.

Properties
VASP energy (eV/atom): -5.373
Relative energy among the computed polymorphs (meV/atom): 92

Structure (POSCAR):
```
LuMgSbOs
1.0
0.000 3.413 3.413
3.413 0.000 3.413
3.413 3.413 0.000
Lu Mg Sb Os
1 1 1 1
Cartesian
0.000 0.000 0.000 Lu
3.413 3.413 3.413 Mg
5.119 5.119 5.119 Sb
1.706 1.706 1.706 Os
```


Record 9
Crystalline Ta3InAs5 at its relaxed geometry, computed with PBE.

Properties
VASP energy (eV/atom): -6.937

Structure (POSCAR):
```
Ta3InAs5
1.0
5.656 0.000 0.000
-2.828 4.898 0.000
0.000 0.000 7.612
Ta In As
3 1 5
Cartesian
-1.414 2.449 0.000 Ta
2.828 0.000 0.000 Ta
1.414 2.449 0.000 Ta
0.000 0.000 3.806 In
0.000 0.000 0.000 As
0.000 3.266 2.109 As
0.000 3.266 5.504 As
2.828 1.633 2.109 As
2.828 1.633 5.504 As
```


Record 10
Crystalline PaNiMo at its relaxed geometry, computed with PBE.

Properties
ΔH_f (0 K) (meV/atom): 347
VASP energy (eV/atom): -8.290
Relative energy among the computed polymorphs (meV/atom): 0

Structure (POSCAR):
```
PaNiMo
1.0
0.000 3.069 3.069
3.069 0.000 3.069
3.069 3.069 0.000
Pa Ni Mo
1 1 1
Cartesian
0.000 0.000 0.000 Pa
1.535 1.535 1.535 Ni
3.069 3.069 3.069 Mo
```


Record 11
Crystalline Pr2NdSi4Pd2Au2 at its relaxed geometry, computed with PBE.

Properties
VASP energy (eV/atom): -5.614
Relative energy among the computed polymorphs (meV/atom): 62

Structure (POSCAR):
```
Pr2NdSi4Pd2Au2
1.0
-2.132 2.141 12.459
2.132 -2.141 12.459
2.132 2.141 -12.459
Pr Nd Si Pd Au
2 1 4 2 2
Cartesian
0.000 0.000 3.637 Pr
0.000 0.000 21.281 Pr
0.000 2.141 0.000 Nd
2.132 0.000 1.195 Si
0.000 0.000 7.721 Si
0.000 0.000 17.198 Si
0.000 2.141 11.264 Si
0.000 0.000 10.115 Pd
0.000 0.000 14.804 Pd
2.132 0.000 6.256 Au
0.000 2.141 6.203 Au
```


Record 12
Crystalline NbZnCoB at its relaxed geometry, computed with PBE.

Properties
VASP energy (eV/atom): -5.972
Relative energy among the computed polymorphs (meV/atom): 0

Structure (POSCAR):
```
NbZnCoB
1.0
0.000 2.886 2.886
2.886 0.000 2.886
2.886 2.886 0.000
Nb Zn Co B
1 1 1 1
Cartesian
0.000 0.000 0.000 Nb
4.329 4.329 4.329 Zn
2.886 2.886 2.886 Co
1.443 1.443 1.443 B
```